No. 1
DFT (PBE) results for LiBeH3 after structural relaxation.

Calculated values
Its space group is Pm-3m (221). The value obtained for the total energy is -16.33 eV for the cell shown. The calculation puts the energy above the most stable polymorph in this dataset at 11.68 kJ/mol of atoms.

Geometry as POSCAR:
```
LiBeH3
1.0
3.159 0.000 0.000
0.000 3.159 0.000
0.000 0.000 3.159
H Li Be
3 1 1
Direct
0.000 0.000 0.500
0.500 0.000 0.000
0.000 0.500 0.000
0.500 0.500 0.500
0.000 0.000 0.000
```

No. 2
DFT (PBE) results for Li3Be2H8 after structural relaxation.

Calculated values
Its space group is R-3m (166). The value obtained for the total energy is -40.38 eV for the cell shown.

Geometry as POSCAR:
```
Li3Be2H8
1.0
-1.334 0.208 4.406
-2.801 -3.233 1.714
2.740 -3.844 3.421
H Li Be
8 3 2
Direct
0.743 0.743 0.297
0.743 0.216 0.297
0.257 0.257 0.703
0.216 0.743 0.297
0.257 0.784 0.703
0.784 0.257 0.703
0.677 0.677 0.969
0.323 0.323 0.031
0.202 0.202 0.395
0.000 0.000 0.000
0.798 0.798 0.605
0.585 0.585 0.245
0.415 0.415 0.755
```

No. 3
DFT (PBE) results for LiBeH3 after structural relaxation.

Calculated values
Its space group is P-1 (2). The value obtained for the total energy is -67.66 eV for the cell shown. The calculation puts the energy above the most stable polymorph in this dataset at 0.33 kJ/mol of atoms.

Geometry as POSCAR:
```
LiBeH3
1.0
-0.187 -1.504 6.371
-4.055 -1.666 1.606
1.259 -6.361 0.103
H Be Li
12 4 4
Direct
0.042 0.407 0.344
0.410 0.326 0.845
0.777 0.878 0.521
0.220 0.779 0.236
0.661 0.553 0.385
0.841 0.325 0.668
0.424 0.221 0.276
0.647 0.657 0.954
0.295 0.001 0.709
0.030 0.472 0.887
0.231 0.554 0.562
0.851 0.099 0.994
0.226 0.489 0.356
0.244 0.316 0.744
0.846 0.389 0.874
0.827 0.562 0.486
0.351 0.699 0.953
0.720 0.180 0.277
0.704 0.999 0.801
0.367 0.880 0.429
```

No. 4
DFT (PBE) results for Li4BeH5 after structural relaxation.

Calculated values
Its space group is I4 (79). The value obtained for the total energy is -30.07 eV for the cell shown.

Geometry as POSCAR:
```
Li4BeH5
1.0
-2.553 3.628 -2.503
-1.480 -0.561 -4.486
-4.747 0.293 0.084
Li H Be
4 5 1
Direct
0.336 0.419 0.815
0.151 0.185 0.419
0.570 0.581 0.185
0.755 0.815 0.581
0.147 0.637 0.186
0.386 0.000 0.000
0.784 0.186 0.363
0.970 0.363 0.814
0.333 0.814 0.637
0.079 0.000 0.000
```